Computed, not measured: crystalline La4HOs at its relaxed geometry at the PBE-GGA level of DFT.

Results
Excess energy over the best structure of this formula in the dataset (eV/atom): 0.000
Total magnetization (μB per formula unit): 0.000
Final energy (hartree per atom): -0.219

Cell: 7.759 7.759 7.759 Å, 108.54 108.54 111.34°
Atoms (fractional coordinates):
La 0.204 0.250 0.547
La 0.204 0.657 0.953
La 0.250 0.204 0.047
La 0.343 0.796 0.547
La 0.657 0.204 0.453
La 0.750 0.796 0.953
La 0.796 0.343 0.047
La 0.796 0.750 0.453
H 0.375 0.625 0.750
H 0.625 0.375 0.250
Os 0.125 0.875 0.250
Os 0.875 0.125 0.750